1.
Here is an optimized crystal structure of NaSrSn from the Alexandria database. Energies are from PBE.

## Properties
- DFT formation energy: -38 kJ per mole of atoms
- E above lowest polymorph: 0.016 eV per atom
- DOS at the Fermi energy: 0.21 states/eV/atom
- Uncorrected energy: -2.73 eV per atom
- Space group: P-1, No. 2

Lattice parameters (Å, degrees): 5.8827 5.9395 6.7891 73.47 86.06 61.60
Atoms (fractional coordinates):
Sr: 0.3286 0.8887 0.7936
Na: 0.9927 0.5877 0.7142
Sn: 0.3527 0.7291 0.3102
Na: 0.0073 0.4123 0.2858
Sr: 0.6714 0.1113 0.2064
Sn: 0.6473 0.2709 0.6898

2.
Here is an optimized crystal structure of PmErGePt from the Alexandria database. Energies are from PBE.

## Properties
- DFT formation energy: -100 kJ per mole of atoms
- E above lowest polymorph: 0.000 eV per atom
- DOS at the Fermi energy: 0.54 states/eV/atom
- Uncorrected energy: -6.02 eV per atom
- Space group: Amm2, No. 38

Lattice parameters (Å, degrees): 4.0021 4.2715 5.8348 90.00 110.06 90.00
Atoms (fractional coordinates):
Pm: 0.8605 0.5000 0.7210
Pt: 0.4170 0.0000 0.8339
Er: 0.1388 0.0000 0.2777
Ge: 0.5837 0.5000 0.1674

3.
Here is an optimized crystal structure of Li5Tl2Hg2Pd from the Alexandria database. Energies are from PBE.

## Properties
- DFT formation energy: -23 kJ per mole of atoms
- DOS at the Fermi energy: 0.63 states/eV/atom
- Uncorrected energy: -2.25 eV per atom
- Space group: P4/mbm, No. 127

Lattice parameters (Å, degrees): 3.2732 11.0496 11.0496 90.00 90.00 90.00
Atoms (fractional coordinates):
Li: 0.5000 0.0331 0.8162
Pd: 0.0000 0.5000 0.5000
Hg: 0.0000 0.6390 0.8610
Li: 0.5000 0.0000 0.5000
Li: 0.5000 0.5331 0.6838
Li: 0.5000 0.1838 0.0331
Li: 0.5000 0.9669 0.1838
Hg: 0.0000 0.3610 0.1390
Li: 0.5000 0.5000 0.0000
Tl: 0.0000 0.3321 0.8321
Tl: 0.0000 0.8321 0.6679
Pd: 0.0000 0.0000 0.0000
Li: 0.5000 0.4669 0.3162
Tl: 0.0000 0.1679 0.3321
Li: 0.5000 0.6838 0.4669
Li: 0.5000 0.3162 0.5331
Tl: 0.0000 0.6679 0.1679
Hg: 0.0000 0.1390 0.6390
Li: 0.5000 0.8162 0.9669
Hg: 0.0000 0.8610 0.3610

4.
Here is an optimized crystal structure of K2AlAgHg from the Alexandria database. Energies are from PBE.

## Properties
- DFT formation energy: 18 kJ per mole of atoms
- DOS at the Fermi energy: 0.87 states/eV/atom
- Uncorrected energy: -1.63 eV per atom
- Space group: P4/mmm, No. 123

Lattice parameters (Å, degrees): 6.6698 4.8842 6.6698 90.00 90.00 90.00
Atoms (fractional coordinates):
K: 0.0000 0.0000 0.5000
K: 0.5000 0.0000 0.0000
Ag: 0.0000 0.5000 0.0000
Hg: 0.5000 0.5000 0.5000
Al: 0.0000 0.0000 0.0000

5.
Here is an optimized crystal structure of CrFeMo2 from the Alexandria database. Energies are from PBE.

## Properties
- DFT formation energy: 73 kJ per mole of atoms
- E above lowest polymorph: 0.657 eV per atom
- DOS at the Fermi energy: 1.32 states/eV/atom
- Uncorrected energy: -9.18 eV per atom
- Space group: I-42d, No. 122

Lattice parameters (Å, degrees): 6.7382 6.7382 5.3998 51.40 51.40 90.00
Atoms (fractional coordinates):
Cr: 0.2500 0.7500 0.5000
Mo: 0.3750 0.3619 0.7500
Mo: 0.1119 0.6250 0.2500
Mo: 0.6381 0.1250 0.2500
Fe: 0.0000 0.0000 0.0000
Fe: 0.7500 0.2500 0.5000
Mo: 0.8750 0.8881 0.7500
Cr: 0.5000 0.5000 0.0000

6.
Here is an optimized crystal structure of Ac2NdRuN4 from the Alexandria database. Energies are from PBE.

## Properties
- DOS at the Fermi energy: 0.28 states/eV/atom
- Uncorrected energy: -7.60 eV per atom
- Raw formation energy: -650 meV per atom
- Space group: Cmcm, No. 63

Lattice parameters (Å, degrees): 3.5865 6.5071 12.8213 90.00 90.00 106.00
Atoms (fractional coordinates):
Nd: 0.1234 0.2468 0.7500
Ru: 0.1563 0.3125 0.2500
N: 0.5836 0.1671 0.2500
N: 0.0000 0.0000 0.5000
N: 0.2804 0.5608 0.3560
N: 0.7196 0.4392 0.8560
N: 0.0000 0.0000 0.0000
Ac: 0.3671 0.7343 0.5434
Ac: 0.3671 0.7343 0.9566
Ru: 0.8437 0.6875 0.7500
Ac: 0.6329 0.2657 0.0434
N: 0.2804 0.5608 0.1440
N: 0.4164 0.8329 0.7500
Nd: 0.8766 0.7532 0.2500
N: 0.7196 0.4392 0.6440
Ac: 0.6329 0.2657 0.4566